Computed, not measured: InSbAu2 after structural relaxation at the PBE-GGA level of DFT.

abc: 3.467 3.467 7.337
angles: 90.00 90.00 85.06
Element x y z (fractional)
Sb: 0.500 0.500 0.750
Au: 0.000 0.000 0.489
Au: 0.000 0.000 0.011
In: 0.500 0.500 0.250

Calculated values
Symmetry = Cmmm
Relative energy among the computed polymorphs = 0.145 eV/atom
Raw total energy = -3.330 eV/atom
Formation energy from raw total energies = 9.1 kJ/mol of formula units
Crystal system = orthorhombic
Total magnetization = 0.00 μB per cell
Calculated volume = 22.0 Å³/atom

Computed, not measured: InSbAu2 after structural relaxation at the PBE-GGA level of DFT.

abc: 7.402 7.402 7.402
angles: 31.34 31.34 31.34
Element x y z (fractional)
In: 0.512 0.512 0.512
Au: 0.254 0.254 0.254
Au: 0.999 0.999 0.999
Sb: 0.736 0.736 0.736

Calculated values
Symmetry = R3m
Relative energy among the computed polymorphs = 0.078 eV/atom
Raw total energy = -3.397 eV/atom
Formation energy from raw total energies = -16.5 kJ/mol of formula units
Crystal system = trigonal
Total magnetization = 0.00 μB per cell
Calculated volume = 24.3 Å³/atom

Computed, not measured: InSb4Au3 after structural relaxation at the PBE-GGA level of DFT.

abc: 6.228 9.697 8.123
angles: 89.98 90.10 110.64
Element x y z (fractional)
In: 0.368 0.484 0.166
In: 0.870 0.984 0.834
Sb: 0.475 0.765 0.336
Sb: 0.410 0.497 0.811
Sb: 0.381 0.997 0.826
Sb: 0.992 0.743 0.668
Sb: 0.975 0.265 0.664
Sb: 0.879 0.497 0.175
Sb: 0.910 0.998 0.189
Sb: 0.491 0.244 0.332
Au: 0.489 0.769 0.674
Au: 0.986 0.761 0.332
Au: 0.485 0.260 0.668
Au: 0.987 0.269 0.326
Au: 0.385 0.984 0.164
Au: 0.885 0.483 0.837

Calculated values
Symmetry = P1
Raw total energy = -3.614 eV/atom
Formation energy from raw total energies = 13.9 kJ/mol of formula units
Crystal system = triclinic
Total magnetization = 0.00 μB per cell
Calculated volume = 28.7 Å³/atom

Computed, not measured: InSb3Au3 after structural relaxation at the PBE-GGA level of DFT.

abc: 7.635 7.635 7.635
angles: 90.00 90.00 90.00
Element x y z (fractional)
Au: 0.500 0.750 0.000
Au: 0.500 0.250 0.000
Au: 0.250 0.000 0.500
Au: 0.000 0.500 0.750
Au: 0.750 0.000 0.500
Au: 0.000 0.500 0.250
Sb: 0.500 0.000 0.750
Sb: 0.750 0.500 0.000
Sb: 0.500 0.000 0.250
Sb: 0.000 0.250 0.500
Sb: 0.250 0.500 0.000
Sb: 0.000 0.750 0.500
In: 0.500 0.500 0.500
In: 0.000 0.000 0.000

Calculated values
Symmetry = Pm-3n
Raw total energy = -3.448 eV/atom
Formation energy from raw total energies = 77.6 kJ/mol of formula units
Crystal system = cubic
Total magnetization = 0.00 μB per cell
Calculated volume = 31.8 Å³/atom